Record 1
The following is a GGA-PBE calculation of a relaxed ErLuNiPt crystal, from Alexandria via LeMat-Bulk.

Space-group type: No. 216
Formation enthalpy at 0 K (kJ/mol of atoms): -85.1
Size of the total moment (μB/cell): 0.0
Fermi-level density of states (states/eV/f.u.): 2.8
Energy (eV per atom): -6.11

The structure in POSCAR format:
```
ErLuNiPt
1.0
6.788 0.000 0.000
0.000 6.788 0.000
0.000 0.000 6.788
Er Lu Ni Pt
4 4 4 4
direct
0.000 0.000 0.000
0.000 0.500 0.500
0.500 0.000 0.500
0.500 0.500 0.000
0.000 0.000 0.500
0.000 0.500 0.000
0.500 0.000 0.000
0.500 0.500 0.500
0.250 0.250 0.750
0.250 0.750 0.250
0.750 0.250 0.250
0.750 0.750 0.750
0.250 0.250 0.250
0.250 0.750 0.750
0.750 0.250 0.750
0.750 0.750 0.250
```

Record 2
The following is a GGA-PBE calculation of a relaxed ErLuNiRu crystal, from Alexandria via LeMat-Bulk.

Space-group type: No. 216
Formation enthalpy at 0 K (kJ/mol of atoms): -46.4
Size of the total moment (μB/cell): 0.0
Fermi-level density of states (states/eV/f.u.): 2.2
Energy (eV per atom): -6.52

The structure in POSCAR format:
```
ErLuNiRu
1.0
6.677 0.000 0.000
0.000 6.677 0.000
0.000 0.000 6.677
Er Lu Ni Ru
4 4 4 4
direct
0.000 0.000 0.000
0.000 0.500 0.500
0.500 0.000 0.500
0.500 0.500 0.000
0.000 0.000 0.500
0.000 0.500 0.000
0.500 0.000 0.000
0.500 0.500 0.500
0.250 0.250 0.750
0.250 0.750 0.250
0.750 0.250 0.250
0.750 0.750 0.750
0.250 0.250 0.250
0.250 0.750 0.750
0.750 0.250 0.750
0.750 0.750 0.250
```

Record 3
The following is a GGA-PBE calculation of a relaxed ErLuSiNi crystal, from Alexandria via LeMat-Bulk.

Formation energy from raw total energies (eV/atom): -0.510
Space-group type: No. 216
Size of the total moment (μB/cell): 0.0
Fermi-level density of states (states/eV/f.u.): 1.2
Energy (eV per atom): -5.58

The structure in POSCAR format:
```
ErLuSiNi
1.0
6.789 0.000 0.000
0.000 6.789 0.000
0.000 0.000 6.789
Er Lu Si Ni
4 4 4 4
direct
0.000 0.000 0.000
0.000 0.500 0.500
0.500 0.000 0.500
0.500 0.500 0.000
0.000 0.000 0.500
0.000 0.500 0.000
0.500 0.000 0.000
0.500 0.500 0.500
0.250 0.250 0.250
0.250 0.750 0.750
0.750 0.250 0.750
0.750 0.750 0.250
0.250 0.250 0.750
0.250 0.750 0.250
0.750 0.250 0.250
0.750 0.750 0.750
```

Record 4
The following is a GGA-PBE calculation of a relaxed ErLuTcNi crystal, from Alexandria via LeMat-Bulk.

Space-group type: No. 216
Formation enthalpy at 0 K (kJ/mol of atoms): -19.4
Size of the total moment (μB/cell): 0.0
Fermi-level density of states (states/eV/f.u.): 3.4
Energy (eV per atom): -6.51

The structure in POSCAR format:
```
ErLuTcNi
1.0
6.695 0.000 0.000
0.000 6.695 0.000
0.000 0.000 6.695
Er Lu Tc Ni
4 4 4 4
direct
0.000 0.000 0.000
0.000 0.500 0.500
0.500 0.000 0.500
0.500 0.500 0.000
0.000 0.000 0.500
0.000 0.500 0.000
0.500 0.000 0.000
0.500 0.500 0.500
0.250 0.250 0.750
0.250 0.750 0.250
0.750 0.250 0.250
0.750 0.750 0.750
0.250 0.250 0.250
0.250 0.750 0.750
0.750 0.250 0.750
0.750 0.750 0.250
```

Record 5
The following is a GGA-PBE calculation of a relaxed ErLuZnNi crystal, from Alexandria via LeMat-Bulk.

Space-group type: No. 216
Formation enthalpy at 0 K (kJ/mol of atoms): -37.2
Size of the total moment (μB/cell): 0.0
Fermi-level density of states (states/eV/f.u.): 2.7
Energy (eV per atom): -4.42

The structure in POSCAR format:
```
ErLuZnNi
1.0
6.833 0.000 0.000
0.000 6.833 0.000
0.000 0.000 6.833
Er Lu Zn Ni
4 4 4 4
direct
0.000 0.000 0.000
0.000 0.500 0.500
0.500 0.000 0.500
0.500 0.500 0.000
0.000 0.000 0.500
0.000 0.500 0.000
0.500 0.000 0.000
0.500 0.500 0.500
0.250 0.250 0.750
0.250 0.750 0.250
0.750 0.250 0.250
0.750 0.750 0.750
0.250 0.250 0.250
0.250 0.750 0.750
0.750 0.250 0.750
0.750 0.750 0.250
```

Record 6
The following is a GGA-PBE calculation of a relaxed Er2LuO crystal, from Alexandria via LeMat-Bulk.

Formation energy from raw total energies (eV/atom): -0.838
Space-group type: No. 123
Polymorph energy (0 for the lowest one) (meV per atom): 524
Size of the total moment (μB/cell): 0.0
Fermi-level density of states (states/eV/f.u.): 5.2
Energy (eV per atom): -5.49

The structure in POSCAR format:
```
Er2LuO
1.0
3.160 0.000 0.000
0.000 3.160 0.000
0.000 0.000 8.491
Er Lu O
2 1 1
direct
0.000 0.000 0.180
0.000 0.000 0.820
0.500 0.500 0.500
0.500 0.500 0.000
```

Record 7
The following is a GGA-PBE calculation of a relaxed Er2LuO crystal, from Alexandria via LeMat-Bulk.

Formation energy from raw total energies (eV/atom): -1.362
Space-group type: No. 166
Polymorph energy (0 for the lowest one) (meV per atom): 0
Size of the total moment (μB/cell): 0.0
Fermi-level density of states (states/eV/f.u.): 4.0
Energy (eV per atom): -6.01

The structure in POSCAR format:
```
Er2LuO
1.0
3.485 0.000 0.000
-1.742 3.018 0.000
0.000 0.000 25.461
Er Lu O
6 3 3
direct
0.000 0.000 0.220
0.000 0.000 0.780
0.333 0.667 0.447
0.333 0.667 0.886
0.667 0.333 0.114
0.667 0.333 0.553
0.000 0.000 0.000
0.333 0.667 0.667
0.667 0.333 0.333
0.000 0.000 0.500
0.333 0.667 0.167
0.667 0.333 0.833
```

Record 8
The following is a GGA-PBE calculation of a relaxed ErLu3O crystal, from Alexandria via LeMat-Bulk.

Formation energy from raw total energies (eV/atom): -1.077
Space-group type: No. 221
Size of the total moment (μB/cell): 0.0
Fermi-level density of states (states/eV/f.u.): 4.9
Energy (eV per atom): -5.69

The structure in POSCAR format:
```
ErLu3O
1.0
4.826 0.000 0.000
0.000 4.826 0.000
0.000 0.000 4.826
Er Lu O
1 3 1
direct
0.000 0.000 0.000
0.000 0.500 0.500
0.500 0.000 0.500
0.500 0.500 0.000
0.500 0.500 0.500
```

Record 9
The following is a GGA-PBE calculation of a relaxed ErLuO2 crystal, from Alexandria via LeMat-Bulk.

Formation energy from raw total energies (eV/atom): -2.985
Space-group type: No. 166
Size of the total moment (μB/cell): 0.0
Fermi-level density of states (states/eV/f.u.): 1.2
Energy (eV per atom): -7.73

The structure in POSCAR format:
```
ErLuO2
1.0
3.508 0.000 0.000
-1.754 3.038 0.000
0.000 0.000 19.218
Er Lu O
3 3 6
direct
0.000 0.000 0.000
0.333 0.667 0.667
0.667 0.333 0.333
0.000 0.000 0.500
0.333 0.667 0.167
0.667 0.333 0.833
0.000 0.000 0.114
0.000 0.000 0.886
0.333 0.667 0.553
0.333 0.667 0.780
0.667 0.333 0.220
0.667 0.333 0.447
```

Record 10
The following is a GGA-PBE calculation of a relaxed ErLu3Os crystal, from Alexandria via LeMat-Bulk.

Space-group type: No. 221
Formation enthalpy at 0 K (kJ/mol of atoms): -0.6
Size of the total moment (μB/cell): 0.0
Fermi-level density of states (states/eV/f.u.): 6.5
Energy (eV per atom): -5.88

The structure in POSCAR format:
```
ErLu3Os
1.0
5.306 0.000 0.000
0.000 5.306 0.000
0.000 0.000 5.306
Er Lu Os
1 3 1
direct
0.000 0.000 0.000
0.000 0.500 0.500
0.500 0.000 0.500
0.500 0.500 0.000
0.500 0.500 0.500
```

Record 11
The following is a GGA-PBE calculation of a relaxed ErLuOs4 crystal, from Alexandria via LeMat-Bulk.

Space-group type: No. 216
Formation enthalpy at 0 K (kJ/mol of atoms): -31.1
Size of the total moment (μB/cell): 0.0
Fermi-level density of states (states/eV/f.u.): 5.7
Energy (eV per atom): -9.32

The structure in POSCAR format:
```
ErLuOs4
1.0
0.000 3.762 3.762
3.762 0.000 3.762
3.762 3.762 0.000
Er Lu Os
1 1 4
direct
0.000 0.000 0.000
0.750 0.750 0.750
0.375 0.375 0.375
0.375 0.375 0.875
0.375 0.875 0.375
0.875 0.375 0.375
```

Record 12
The following is a GGA-PBE calculation of a relaxed Er2LuOs crystal, from Alexandria via LeMat-Bulk.

Space-group type: No. 166
Formation enthalpy at 0 K (kJ/mol of atoms): 23.9
Polymorph energy (0 for the lowest one) (meV per atom): 372
Size of the total moment (μB/cell): 0.1
Fermi-level density of states (states/eV/f.u.): 6.1
Energy (eV per atom): -5.97

The structure in POSCAR format:
```
Er2LuOs
1.0
3.382 0.000 0.000
-1.691 2.929 0.000
0.000 0.000 32.108
Er Lu Os
6 3 3
direct
0.000 0.000 0.104
0.000 0.000 0.896
0.333 0.667 0.563
0.333 0.667 0.771
0.667 0.333 0.229
0.667 0.333 0.437
0.000 0.000 0.000
0.333 0.667 0.667
0.667 0.333 0.333
0.000 0.000 0.500
0.333 0.667 0.167
0.667 0.333 0.833
```

Record 13
The following is a GGA-PBE calculation of a relaxed Er2LuOs crystal, from Alexandria via LeMat-Bulk.

Space-group type: No. 123
Formation enthalpy at 0 K (kJ/mol of atoms): -12.0
Polymorph energy (0 for the lowest one) (meV per atom): 0
Size of the total moment (μB/cell): 0.0
Fermi-level density of states (states/eV/f.u.): 4.7
Energy (eV per atom): -6.34

The structure in POSCAR format:
```
Er2LuOs
1.0
3.363 0.000 0.000
0.000 3.363 0.000
0.000 0.000 9.103
Er Lu Os
2 1 1
direct
0.000 0.000 0.181
0.000 0.000 0.819
0.500 0.500 0.500
0.500 0.500 0.000
```

Record 14
The following is a GGA-PBE calculation of a relaxed ErLuOsPt crystal, from Alexandria via LeMat-Bulk.

Space-group type: No. 216
Formation enthalpy at 0 K (kJ/mol of atoms): -72.5
Size of the total moment (μB/cell): 0.0
Fermi-level density of states (states/eV/f.u.): 1.9
Energy (eV per atom): -7.34

The structure in POSCAR format:
```
ErLuOsPt
1.0
6.784 0.000 0.000
0.000 6.784 0.000
0.000 0.000 6.784
Er Lu Os Pt
4 4 4 4
direct
0.000 0.000 0.000
0.000 0.500 0.500
0.500 0.000 0.500
0.500 0.500 0.000
0.000 0.000 0.500
0.000 0.500 0.000
0.500 0.000 0.000
0.500 0.500 0.500
0.250 0.250 0.750
0.250 0.750 0.250
0.750 0.250 0.250
0.750 0.750 0.750
0.250 0.250 0.250
0.250 0.750 0.750
0.750 0.250 0.750
0.750 0.750 0.250
```

Record 15
The following is a GGA-PBE calculation of a relaxed ErLuOsRh crystal, from Alexandria via LeMat-Bulk.

Space-group type: No. 216
Formation enthalpy at 0 K (kJ/mol of atoms): -56.7
Size of the total moment (μB/cell): 0.0
Fermi-level density of states (states/eV/f.u.): 2.0
Energy (eV per atom): -7.50

The structure in POSCAR format:
```
ErLuOsRh
1.0
6.728 0.000 0.000
0.000 6.728 0.000
0.000 0.000 6.728
Er Lu Os Rh
4 4 4 4
direct
0.000 0.000 0.000
0.000 0.500 0.500
0.500 0.000 0.500
0.500 0.500 0.000
0.000 0.000 0.500
0.000 0.500 0.000
0.500 0.000 0.000
0.500 0.500 0.500
0.250 0.250 0.750
0.250 0.750 0.250
0.750 0.250 0.250
0.750 0.750 0.750
0.250 0.250 0.250
0.250 0.750 0.750
0.750 0.250 0.750
0.750 0.750 0.250
```